Record 1
Material: LiTl2Sb2
Method: DFT, GGA-PBE
State: optimized geometry

Lattice parameters (Å, degrees): 4.3050 4.3050 17.0600 90.00 90.00 90.00
With the nearest neighbours (Å) after each atom.
Space group I4/mmm (No. 139)
Inequivalent atoms, fractional coordinates:
Li  0.0000  0.0000  0.0000 x2  8 Tl 3.46
Tl  0.0000  0.0000  0.4036 x4  1 Tl 3.29, 4 Sb 3.39, 4 Li 3.46
Sb  0.0000  0.5000  0.2500 x4  4 Sb 3.04, 4 Tl 3.39

## Properties
Formation energy without anion corrections (eV per atom): 0.065
Magnetic moment (μB/f.u.): 0.0
Calculated volume (A^3/atom): 31.62
Total DFT energy (no corrections) (eV per atom): -2.913

Record 2
Material: LiTlSb2
Method: DFT, GGA-PBE
State: optimized geometry

Lattice parameters (Å, degrees): 4.4995 4.4995 10.5685 90.00 90.00 90.00
With the nearest neighbours (Å) after each atom.
Space group I4/mmm (No. 139)
Inequivalent atoms, fractional coordinates:
Li  0.0000  0.0000  0.0000 x2  4 Tl 3.18, 8 Sb 3.47
Tl  0.0000  0.0000  0.5000 x2  4 Li 3.18, 8 Sb 3.47
Sb  0.0000  0.5000  0.2500 x4  4 Sb 3.18, 4 Li 3.47, 4 Tl 3.47

## Properties
Formation energy without anion corrections (eV per atom): -0.117
Magnetic moment (μB/f.u.): 0.0
Calculated volume (A^3/atom): 26.75
Total DFT energy (no corrections) (eV per atom): -3.248

What did the first record say?
Material: LiTl2Sb2
Method: DFT, GGA-PBE
State: optimized geometry

Lattice parameters (Å, degrees): 4.3050 4.3050 17.0600 90.00 90.00 90.00
With the nearest neighbours (Å) after each atom.
Space group I4/mmm (No. 139)
Inequivalent atoms, fractional coordinates:
Li  0.0000  0.0000  0.0000 x2  8 Tl 3.46
Tl  0.0000  0.0000  0.4036 x4  1 Tl 3.29, 4 Sb 3.39, 4 Li 3.46
Sb  0.0000  0.5000  0.2500 x4  4 Sb 3.04, 4 Tl 3.39

## Properties
Formation energy without anion corrections (eV per atom): 0.065
Magnetic moment (μB/f.u.): 0.0
Calculated volume (A^3/atom): 31.62
Total DFT energy (no corrections) (eV per atom): -2.913